MoIr2: optimized geometry, PBE.

DOS at the Fermi energy = 0.79 states/eV/atom
Total magnetization = 0.00 μB per cell
Calculated formation energy = -0.221 eV/atom
Space-group type = C2/m

Lattice parameters (Å, degrees): 5.243 5.243 6.572 103.48 103.48 30.60
Positions (direct):
Mo 0.191 0.191 0.143
Mo 0.809 0.809 0.857
Ir 0.141 0.141 0.535
Ir 0.470 0.470 0.190
Ir 0.530 0.530 0.810
Ir 0.859 0.859 0.465